i | ReTe2N2: relaxed, GGA-PBE.

Computed properties:
**Total magnetic moment**: 0.00 μB/atom
**DOS(E_F)**: 2.88 states/eV per cell
**Volume**: 19.02 Å³ per atom

Unit cell a=3.9801 b=3.9801 c=6.0020 alpha=90.00 beta=90.00 gamma=90.00
Element x y z (fractional)
Re  0.0000  0.0000  0.0000
Te  0.0000  0.0000  0.5000
Te  0.5000  0.5000  0.5000
N  0.0000  0.5000  0.0000
N  0.5000  0.0000  0.0000

---

ii | ReTe2N2: relaxed, GGA-PBE.

Computed properties:
**Total magnetic moment**: 0.74 μB/atom
**DOS(E_F)**: 2.84 states/eV per cell
**Volume**: 21.08 Å³ per atom

Unit cell a=3.9650 b=3.9650 c=6.7032 alpha=90.00 beta=90.00 gamma=90.00
Element x y z (fractional)
Re  0.0000  0.0000  0.0000
Te  0.5000  0.5000  0.0000
Te  0.5000  0.5000  0.5000
N  0.0000  0.5000  0.5000
N  0.5000  0.0000  0.5000

---

Stability comparison, relative energies in kJ/mol of atoms: i 0.0; ii 130.3

---

i | TiReTe2N: relaxed, GGA-PBE.

Computed properties:
**Total magnetic moment**: 0.53 μB/atom
**DOS(E_F)**: 3.31 states/eV per cell
**Volume**: 21.41 Å³ per atom

Unit cell a=5.4285 b=5.4285 c=3.6318 alpha=90.00 beta=90.00 gamma=90.00
Element x y z (fractional)
Ti  0.0000  0.0000  0.0000
Re  0.5000  0.5000  0.5000
Te  0.0000  0.5000  0.0000
Te  0.5000  0.0000  0.0000
N  0.0000  0.0000  0.5000

---

ii | TiReTe2N: relaxed, GGA-PBE.

Computed properties:
**Total magnetic moment**: 0.39 μB/atom
**DOS(E_F)**: 7.46 states/eV per cell
**Volume**: 22.04 Å³ per atom

Unit cell a=5.4407 b=5.4407 c=3.7228 alpha=90.00 beta=90.00 gamma=90.00
Element x y z (fractional)
Ti  0.0000  0.0000  0.0000
Re  0.5000  0.5000  0.5000
Te  0.0000  0.5000  0.5000
Te  0.5000  0.0000  0.5000
N  0.5000  0.5000  0.0000

---

Stability comparison, relative energies in kJ/mol of atoms: i 40.7; ii 0.0

---

i | TlReTeN2: relaxed, GGA-PBE.

Computed properties:
**Total magnetic moment**: 1.40 μB/atom
**DOS(E_F)**: 4.00 states/eV per cell
**Volume**: 23.78 Å³ per atom

Unit cell a=4.2191 b=4.2191 c=6.6798 alpha=90.00 beta=90.00 gamma=90.00
Element x y z (fractional)
Tl  0.0000  0.0000  0.0000
Re  0.5000  0.5000  0.5000
Te  0.0000  0.0000  0.5000
N  0.0000  0.5000  0.0000
N  0.5000  0.0000  0.0000

---

ii | TlReTeN2: relaxed, GGA-PBE.

Computed properties:
**Total magnetic moment**: 0.00 μB/atom
**DOS(E_F)**: 3.35 states/eV per cell
**Volume**: 18.46 Å³ per atom

Unit cell a=4.0153 b=4.0153 c=5.7243 alpha=90.00 beta=90.00 gamma=90.00
Element x y z (fractional)
Tl  0.0000  0.0000  0.0000
Re  0.5000  0.5000  0.5000
Te  0.5000  0.5000  0.0000
N  0.0000  0.5000  0.5000
N  0.5000  0.0000  0.5000

---

Stability comparison, relative energies in kJ/mol of atoms: i 188.5; ii 0.0

---

i | ReTeWN2: relaxed, GGA-PBE.

Computed properties:
**Total magnetic moment**: 0.72 μB/atom
**DOS(E_F)**: 2.80 states/eV per cell
**Volume**: 17.90 Å³ per atom

Unit cell a=3.9317 b=3.9317 c=5.7894 alpha=90.00 beta=90.00 gamma=90.00
Element x y z (fractional)
Re  0.0000  0.0000  0.0000
Te  0.5000  0.5000  0.0000
W  0.5000  0.5000  0.5000
N  0.0000  0.5000  0.5000
N  0.5000  0.0000  0.5000

---

ii | ReTeWN2: relaxed, GGA-PBE.

Computed properties:
**Total magnetic moment**: 0.65 μB/atom
**DOS(E_F)**: 3.81 states/eV per cell
**Volume**: 17.67 Å³ per atom

Unit cell a=3.8989 b=3.8989 c=5.8105 alpha=90.00 beta=90.00 gamma=90.00
Element x y z (fractional)
Re  0.0000  0.0000  0.0000
Te  0.0000  0.0000  0.5000
W  0.5000  0.5000  0.5000
N  0.0000  0.5000  0.0000
N  0.5000  0.0000  0.0000

---

Stability comparison, relative energies in kJ/mol of atoms: i 0.0; ii 6.7